! TeP2O2 GGA-PBE relaxed; values from VASP
! Uncorrected formation energy in eV/atom: -0.211
! Energy in eV per atom: -4.99
! Space group: P4/mmm (123)
! Size of the total moment in μB per formula unit: 0.490
&SYSTEM
  ibrav = 0, nat = 5, ntyp = 3
/
ATOMIC_SPECIES
Te 127.60 Te.upf
P 30.97 P.upf
O 16.00 O.upf
CELL_PARAMETERS angstrom
3.7208 0.0000 0.0000
0.0000 3.7208 0.0000
0.0000 0.0000 4.7851
ATOMIC_POSITIONS crystal
Te 0.0000 0.0000 0.0000
P 0.5000 0.5000 0.0000
P 0.5000 0.5000 0.5000
O 0.0000 0.5000 0.5000
O 0.5000 0.0000 0.5000